Model w:
Below is ZnCr3P at its PBEsol-relaxed geometry, with properties calculated at the SCAN level.

Geometry as CIF:
```
data_ZnCr3P
_cell_length_a 4.249
_cell_length_b 4.249
_cell_length_c 4.249
_cell_angle_alpha 90.00
_cell_angle_beta 90.00
_cell_angle_gamma 90.00
_symmetry_space_group_name_H-M 'P m -3 m'
_symmetry_Int_Tables_number 221
_symmetry_space_group_name_Hall '-P 4 2 3'
loop_
_atom_site_label
_atom_site_fract_x
_atom_site_fract_y
_atom_site_fract_z
Zn1 0.000 0.000 0.000
Cr1 0.000 0.500 0.500
P1 0.500 0.500 0.500
```

For the density of states at the Fermi level, the calculation gives 2.7 states/eV per cell.

Model x:
Below is ZnCr3P at its PBEsol-relaxed geometry, with properties calculated at the SCAN level.

Geometry as CIF:
```
data_ZnCr3P
_cell_length_a 4.481
_cell_length_b 4.481
_cell_length_c 4.481
_cell_angle_alpha 90.00
_cell_angle_beta 90.00
_cell_angle_gamma 90.00
_symmetry_space_group_name_H-M 'P m -3 m'
_symmetry_Int_Tables_number 221
_symmetry_space_group_name_Hall '-P 4 2 3'
loop_
_atom_site_label
_atom_site_fract_x
_atom_site_fract_y
_atom_site_fract_z
Zn1 0.000 0.000 0.000
Cr1 0.000 0.000 0.500
P1 0.500 0.500 0.500
```

For the density of states at the Fermi level, the calculation gives 6.5 states/eV per cell.

Most favorable structure: model w. The second most favorable one is 0.761 eV/atom above it.

Model w:
Below is ZrCrP2 at its PBEsol-relaxed geometry, with properties calculated at the SCAN level.

Geometry as CIF:
```
data_ZrCrP2
_cell_length_a 6.084
_cell_length_b 6.084
_cell_length_c 6.084
_cell_angle_alpha 90.00
_cell_angle_beta 90.00
_cell_angle_gamma 90.00
_symmetry_space_group_name_H-M 'F m -3 m'
_symmetry_Int_Tables_number 225
_symmetry_space_group_name_Hall '-F 4 2 3'
loop_
_atom_site_label
_atom_site_fract_x
_atom_site_fract_y
_atom_site_fract_z
Zr1 0.000 0.000 0.000
Cr1 0.000 0.000 0.500
P1 0.250 0.250 0.250
```

For the density of states at the Fermi level, the calculation gives 3.0 states/eV per cell.

Model x:
Below is ZrCrP2 at its PBEsol-relaxed geometry, with properties calculated at the SCAN level.

Geometry as CIF:
```
data_ZrCrP2
_cell_length_a 3.6298
_cell_length_b 3.6298
_cell_length_c 16.1248
_cell_angle_alpha 90.00
_cell_angle_beta 90.00
_cell_angle_gamma 120.00
_symmetry_space_group_name_H-M 'R -3 m'
_symmetry_Int_Tables_number 166
_symmetry_space_group_name_Hall '-R 3 2"'
loop_
_atom_site_label
_atom_site_fract_x
_atom_site_fract_y
_atom_site_fract_z
Zr1 0.0000 0.0000 0.0000
Cr1 0.0000 0.0000 0.5000
P1 0.0000 0.0000 0.2370
```

For the density of states at the Fermi level, the calculation gives 4.1 states/eV per cell.

Most favorable structure: model x. The second most favorable one is 0.512 eV/atom above it.

Model w:
Below is CrSbPb at its PBEsol-relaxed geometry, with properties calculated at the SCAN level.

Geometry as CIF:
```
data_CrSbPb
_cell_length_a 3.338
_cell_length_b 3.338
_cell_length_c 12.582
_cell_angle_alpha 90.00
_cell_angle_beta 90.00
_cell_angle_gamma 90.00
_symmetry_space_group_name_H-M 'I 4 m m'
_symmetry_Int_Tables_number 107
_symmetry_space_group_name_Hall 'I 4 -2'
loop_
_atom_site_label
_atom_site_fract_x
_atom_site_fract_y
_atom_site_fract_z
Cr1 0.000 0.000 0.000
Sb1 0.000 0.000 0.620
Pb1 0.000 0.000 0.346
```

For the density of states at the Fermi level, the calculation gives 2.9 states/eV per cell.

Model x:
Below is CrSbPb at its PBEsol-relaxed geometry, with properties calculated at the SCAN level.

Geometry as CIF:
```
data_CrSbPb
_cell_length_a 4.5734
_cell_length_b 4.5734
_cell_length_c 4.2207
_cell_angle_alpha 90.00
_cell_angle_beta 90.00
_cell_angle_gamma 120.00
_symmetry_space_group_name_H-M 'P -6 m 2'
_symmetry_Int_Tables_number 187
_symmetry_space_group_name_Hall 'P -6 2'
loop_
_atom_site_label
_atom_site_fract_x
_atom_site_fract_y
_atom_site_fract_z
Cr1 0.0000 0.0000 0.0000
Sb1 0.6667 0.3333 0.0000
Pb1 0.3333 0.6667 0.5000
```

For the density of states at the Fermi level, the calculation gives 1.7 states/eV per cell.

Most favorable structure: model w. The second most favorable one is 0.081 eV/atom above it.

Model w:
Below is TaCrPb2 at its PBEsol-relaxed geometry, with properties calculated at the SCAN level.

Geometry as CIF:
```
data_TaCrPb2
_cell_length_a 3.764
_cell_length_b 5.083
_cell_length_c 8.631
_cell_angle_alpha 90.00
_cell_angle_beta 90.00
_cell_angle_gamma 90.00
_symmetry_space_group_name_H-M 'C m m m'
_symmetry_Int_Tables_number 65
_symmetry_space_group_name_Hall '-C 2 2'
loop_
_atom_site_label
_atom_site_fract_x
_atom_site_fract_y
_atom_site_fract_z
Ta1 0.000 0.000 0.000
Cr1 0.000 0.000 0.500
Pb1 0.000 0.500 0.259
```

For the density of states at the Fermi level, the calculation gives 4.2 states/eV per cell.

Model x:
Below is TaCrPb2 at its PBEsol-relaxed geometry, with properties calculated at the SCAN level.

Geometry as CIF:
```
data_TaCrPb2
_cell_length_a 9.587
_cell_length_b 3.128
_cell_length_c 5.632
_cell_angle_alpha 90.00
_cell_angle_beta 102.61
_cell_angle_gamma 90.00
_symmetry_space_group_name_H-M 'C 1 2/m 1'
_symmetry_Int_Tables_number 12
loop_
_symmetry_equiv_pos_as_xyz
'x,y,z'
'-x,-y,-z'
'-x,y,-z'
'x,-y,z'
'x+1/2,y+1/2,z'
'-x+1/2,-y+1/2,-z'
'-x+1/2,y+1/2,-z'
'x+1/2,-y+1/2,z'
loop_
_atom_site_label
_atom_site_fract_x
_atom_site_fract_y
_atom_site_fract_z
Ta1 0.000 0.000 0.000
Cr1 0.000 0.500 0.500
Pb1 0.247 0.000 0.750
```

For the density of states at the Fermi level, the calculation gives 3.7 states/eV per cell.

Most favorable structure: model w. The second most favorable one is 0.047 eV/atom above it.

Model w:
Below is TaCrPb2 at its PBEsol-relaxed geometry, with properties calculated at the SCAN level.

Geometry as CIF:
```
data_TaCrPb2
_cell_length_a 3.232
_cell_length_b 5.381
_cell_length_c 9.391
_cell_angle_alpha 90.00
_cell_angle_beta 90.00
_cell_angle_gamma 90.00
_symmetry_space_group_name_H-M 'I m m m'
_symmetry_Int_Tables_number 71
_symmetry_space_group_name_Hall '-I 2 2'
loop_
_atom_site_label
_atom_site_fract_x
_atom_site_fract_y
_atom_site_fract_z
Ta1 0.000 0.000 0.000
Cr1 0.000 0.000 0.500
Pb1 0.000 0.500 0.236
```

For the density of states at the Fermi level, the calculation gives 4.4 states/eV per cell.

Model x:
Below is TaCrPb2 at its PBEsol-relaxed geometry, with properties calculated at the SCAN level.

Geometry as CIF:
```
data_TaCrPb2
_cell_length_a 3.2361
_cell_length_b 3.2361
_cell_length_c 27.8474
_cell_angle_alpha 90.00
_cell_angle_beta 90.00
_cell_angle_gamma 120.00
_symmetry_space_group_name_H-M 'R -3 m'
_symmetry_Int_Tables_number 166
_symmetry_space_group_name_Hall '-R 3 2"'
loop_
_atom_site_label
_atom_site_fract_x
_atom_site_fract_y
_atom_site_fract_z
Ta1 0.0000 0.0000 0.0000
Cr1 0.0000 0.0000 0.5000
Pb1 0.0000 0.0000 0.2482
```

For the density of states at the Fermi level, the calculation gives 6.3 states/eV per cell.

Most favorable structure: model x. The second most favorable one is 0.094 eV/atom above it.

Model w:
Below is TaCrPb at its PBEsol-relaxed geometry, with properties calculated at the SCAN level.

Geometry as CIF:
```
data_TaCrPb
_cell_length_a 3.303
_cell_length_b 3.303
_cell_length_c 9.552
_cell_angle_alpha 90.00
_cell_angle_beta 90.00
_cell_angle_gamma 90.00
_symmetry_space_group_name_H-M 'I 4 m m'
_symmetry_Int_Tables_number 107
_symmetry_space_group_name_Hall 'I 4 -2'
loop_
_atom_site_label
_atom_site_fract_x
_atom_site_fract_y
_atom_site_fract_z
Ta1 0.000 0.000 0.000
Cr1 0.000 0.000 0.374
Pb1 0.000 0.000 0.695
```

For the density of states at the Fermi level, the calculation gives 4.9 states/eV per cell.

Model x:
Below is TaCrPb at its PBEsol-relaxed geometry, with properties calculated at the SCAN level.

Geometry as CIF:
```
data_TaCrPb
_cell_length_a 3.0882
_cell_length_b 3.0882
_cell_length_c 6.8817
_cell_angle_alpha 90.00
_cell_angle_beta 90.00
_cell_angle_gamma 120.00
_symmetry_space_group_name_H-M 'P 3 m 1'
_symmetry_Int_Tables_number 156
loop_
_symmetry_equiv_pos_as_xyz
'x,y,z'
'-y,x-y,z'
'-x+y,-x,z'
'-y,-x,z'
'-x+y,y,z'
'x,x-y,z'
loop_
_atom_site_label
_atom_site_fract_x
_atom_site_fract_y
_atom_site_fract_z
Ta1 0.0000 0.0000 0.0000
Cr1 0.3333 0.6667 0.7124
Pb1 0.6667 0.3333 0.3669
```

For the density of states at the Fermi level, the calculation gives 2.1 states/eV per cell.

Most favorable structure: model w. The second most favorable one is 0.049 eV/atom above it.